No. 1
Crystalline MgNpCl2 at its relaxed geometry. Source: Alexandria, functional PBE.

## Properties
magnetic moment	1.40	μB per atom
electronic total energy	-5.301	eV/atom
uncorrected formation energy	-287	kJ/mol of formula units
space group	No. 166

abc: 3.4586 3.4586 31.4188
angles: 90.00 90.00 120.00
With the nearest neighbours (Å) after each atom.
Fractional positions:
Mg: 0.0000 0.0000 0.0000  6 Cl 2.47
Mg: 0.3333 0.6667 0.6667  6 Cl 2.47
Mg: 0.6667 0.3333 0.3333  6 Cl 2.47
Np: 0.0000 0.0000 0.5000  6 Np 3.46, 2 Cl 3.78
Np: 0.3333 0.6667 0.1667  6 Np 3.46, 2 Cl 3.78
Np: 0.6667 0.3333 0.8333  6 Np 3.46, 2 Cl 3.78
Cl: 0.0000 0.0000 0.3796  3 Mg 2.47
Cl: 0.0000 0.0000 0.6204  3 Mg 2.47
Cl: 0.3333 0.6667 0.0463  3 Mg 2.47
Cl: 0.3333 0.6667 0.2871  3 Mg 2.47
Cl: 0.6667 0.3333 0.7129  3 Mg 2.47
Cl: 0.6667 0.3333 0.9537  3 Mg 2.47


No. 2
Crystalline LiMg2Ni2 at its relaxed geometry. Source: Alexandria, functional PBE.

## Properties
formation energy from the elements	-0.1	eV per formula unit
magnetic moment	0.00	μB per atom
relative energy among the computed polymorphs	0.24	eV/f.u.
electronic total energy	-3.353	eV/atom
space group	No. 127

abc: 7.4176 7.4176 2.8257
angles: 90.00 90.00 90.00
With the nearest neighbours (Å) after each atom.
Fractional positions:
Li: 0.0000 0.0000 0.0000  2 Li 2.83, 4 Mg 2.83
Li: 0.5000 0.5000 0.0000  2 Li 2.83, 4 Mg 2.83
Mg: 0.1493 0.3507 0.0000  6 Ni 2.58-2.60, 2 Mg 2.83, 2 Li 2.83
Mg: 0.3507 0.8507 0.0000  6 Ni 2.58-2.60, 2 Mg 2.83, 2 Li 2.83
Mg: 0.6493 0.1493 0.0000  6 Ni 2.58-2.60, 2 Mg 2.83, 2 Li 2.83
Mg: 0.8507 0.6493 0.0000  6 Ni 2.58-2.60, 2 Mg 2.83, 2 Li 2.83
Ni: 0.1452 0.6452 0.5000  6 Mg 2.58-2.60, 2 Ni 2.83
Ni: 0.3548 0.1452 0.5000  6 Mg 2.58-2.60, 2 Ni 2.83
Ni: 0.6452 0.8548 0.5000  6 Mg 2.58-2.60, 2 Ni 2.83
Ni: 0.8548 0.3548 0.5000  6 Mg 2.58-2.60, 2 Ni 2.83


No. 3
Crystalline Ag2TeMoPt at its relaxed geometry. Source: Alexandria, functional PBE.

## Properties
magnetic moment	0.00	μB per atom
electronic total energy	-3.737	eV/atom
uncorrected formation energy	679	kJ/mol of formula units
space group	No. 123

abc: 5.0906 5.0906 4.9960
angles: 90.00 90.00 90.00
With the nearest neighbours (Å) after each atom.
Fractional positions:
Ag: 0.0000 0.5000 0.0000  2 Mo 2.55
Ag: 0.5000 0.0000 0.0000  2 Mo 2.55
Te: 0.0000 0.0000 0.5000  2 Mo 2.50
Mo: 0.0000 0.0000 0.0000  2 Te 2.50, 4 Ag 2.55
Pt: 0.5000 0.5000 0.5000  8 Ag 3.57, 4 Te 3.60


No. 4
Crystalline InPt2Br at its relaxed geometry. Source: Alexandria, functional PBE.

## Properties
magnetic moment	0.00	μB per atom
relative energy among the computed polymorphs	0.85	eV/f.u.
electronic total energy	-4.044	eV/atom
uncorrected formation energy	31	kJ/mol of formula units
space group	No. 6

abc: 4.6041 5.1910 4.6157
angles: 90.00 118.62 90.00
With the nearest neighbours (Å) after each atom.
Fractional positions:
In: 0.0000 0.0000 0.0000  3 Pt 2.68
Pt: 0.2720 0.5000 0.7275  2 Br 2.47, 2 Pt 2.65
Pt: 0.3368 0.0000 0.6618  2 Pt 2.65, 3 In 2.68
Br: 0.6772 0.5000 0.3214  2 Pt 2.47


No. 5
Crystalline TaZnS2Cl at its relaxed geometry. Source: Alexandria, functional PBE.

## Properties
magnetic moment	0.40	μB per atom
relative energy among the computed polymorphs	4.73	eV/f.u.
electronic total energy	-4.059	eV/atom
uncorrected formation energy	283	kJ/mol of formula units
space group	No. 123

abc: 4.6833 4.6833 4.4973
angles: 90.00 90.00 90.00
With the nearest neighbours (Å) after each atom.
Fractional positions:
Ta: 0.0000 0.0000 0.0000  8 S 3.25, 4 Cl 3.31
Zn: 0.5000 0.5000 0.5000  2 Cl 2.25, 4 S 2.34
S: 0.0000 0.5000 0.5000  2 Zn 2.34
S: 0.5000 0.0000 0.5000  2 Zn 2.34
Cl: 0.5000 0.5000 0.0000  2 Zn 2.25


No. 6
Crystalline Cd6CuAg5 at its relaxed geometry. Source: Alexandria, functional PBE.

## Properties
formation energy from the elements	-0.3	eV per formula unit
magnetic moment	0.00	μB per atom
electronic total energy	-2.013	eV/atom
space group	No. 12

abc: 8.1218 8.1218 4.7233
angles: 104.55 104.55 49.97
With the nearest neighbours (Å) after each atom.
Fractional positions:
Cd: 0.0808 0.5983 0.3427  1 Cu 2.81, 7 Ag 2.88-2.97
Cd: 0.2336 0.7664 0.0000  2 Cu 2.85, 6 Ag 2.96-2.99
Cd: 0.4017 0.9192 0.6573  1 Cu 2.81, 7 Ag 2.88-2.97
Cd: 0.5983 0.0808 0.3427  1 Cu 2.81, 7 Ag 2.88-2.97
Cd: 0.7664 0.2336 0.0000  2 Cu 2.85, 6 Ag 2.96-2.99
Cd: 0.9192 0.4017 0.6573  1 Cu 2.81, 7 Ag 2.88-2.97
Cu: 0.0000 0.0000 0.5000  8 Cd 2.81-2.85
Ag: 0.1756 0.1756 0.1713  8 Cd 2.89-2.96, 1 Ag 3.16
Ag: 0.3343 0.3343 0.8377  8 Cd 2.95-2.97, 2 Ag 3.16-3.26
Ag: 0.5000 0.5000 0.5000  8 Cd 2.88-2.99
Ag: 0.6657 0.6657 0.1623  8 Cd 2.95-2.97, 2 Ag 3.16-3.26
Ag: 0.8244 0.8244 0.8287  8 Cd 2.89-2.96, 1 Ag 3.16


No. 7
Crystalline CoNiB3 at its relaxed geometry. Source: Alexandria, functional PBE.

## Properties
formation energy from the elements	5.8	eV per formula unit
magnetic moment	0.23	μB per atom
relative energy among the computed polymorphs	1.24	eV/f.u.
electronic total energy	-5.428	eV/atom
space group	No. 221

abc: 3.6861 3.6861 3.6861
angles: 90.00 90.00 90.00
With the nearest neighbours (Å) after each atom.
Fractional positions:
Co: 0.0000 0.0000 0.0000  12 B 2.61
Ni: 0.5000 0.5000 0.5000  6 B 1.84
B: 0.0000 0.5000 0.5000  2 Ni 1.84
B: 0.5000 0.0000 0.5000  2 Ni 1.84
B: 0.5000 0.5000 0.0000  2 Ni 1.84


No. 8
Crystalline AcPmSi2 at its relaxed geometry. Source: Alexandria, functional PBE.

## Properties
magnetic moment	0.00	μB per atom
relative energy among the computed polymorphs	1.33	eV/f.u.
electronic total energy	-5.240	eV/atom
uncorrected formation energy	-121	kJ/mol of formula units
space group	No. 225

abc: 7.4880 7.4880 7.4880
angles: 90.00 90.00 90.00
With the nearest neighbours (Å) after each atom.
Fractional positions:
Ac: 0.0000 0.0000 0.0000  8 Si 3.24
Ac: 0.0000 0.5000 0.5000  8 Si 3.24
Ac: 0.5000 0.0000 0.5000  8 Si 3.24
Ac: 0.5000 0.5000 0.0000  8 Si 3.24
Pm: 0.0000 0.0000 0.5000  8 Si 3.24
Pm: 0.0000 0.5000 0.0000  8 Si 3.24
Pm: 0.5000 0.0000 0.0000  8 Si 3.24
Pm: 0.5000 0.5000 0.5000  8 Si 3.24
Si: 0.2500 0.2500 0.2500  4 Ac 3.24, 4 Pm 3.24
Si: 0.2500 0.2500 0.7500  4 Ac 3.24, 4 Pm 3.24
Si: 0.2500 0.7500 0.2500  4 Ac 3.24, 4 Pm 3.24
Si: 0.2500 0.7500 0.7500  4 Ac 3.24, 4 Pm 3.24
Si: 0.7500 0.2500 0.2500  4 Ac 3.24, 4 Pm 3.24
Si: 0.7500 0.2500 0.7500  4 Ac 3.24, 4 Pm 3.24
Si: 0.7500 0.7500 0.2500  4 Ac 3.24, 4 Pm 3.24
Si: 0.7500 0.7500 0.7500  4 Pm 3.24, 4 Ac 3.24


No. 9
Crystalline Zn2CuPt at its relaxed geometry. Source: Alexandria, functional PBE.

## Properties
formation energy from the elements	-1.4	eV per formula unit
magnetic moment	0.00	μB per atom
electronic total energy	-3.518	eV/atom
space group	No. 123

abc: 3.8725 3.8725 3.7199
angles: 90.00 90.00 90.00
With the nearest neighbours (Å) after each atom.
Fractional positions:
Zn: 0.0000 0.5000 0.0000  4 Cu 2.68, 4 Pt 2.68, 4 Zn 2.74
Zn: 0.5000 0.0000 0.0000  4 Cu 2.68, 4 Pt 2.68, 4 Zn 2.74
Cu: 0.0000 0.0000 0.5000  8 Zn 2.68, 4 Pt 2.74
Pt: 0.5000 0.5000 0.5000  8 Zn 2.68, 4 Cu 2.74


No. 10
Crystalline Y2W at its relaxed geometry. Source: Alexandria, functional PBE.

## Properties
formation energy from the elements	1.0	eV per formula unit
magnetic moment	0.00	μB per atom
relative energy among the computed polymorphs	0.31	eV/f.u.
electronic total energy	-8.277	eV/atom
space group	No. 140

abc: 7.4784 7.4784 5.5613
angles: 90.00 90.00 90.00
With the nearest neighbours (Å) after each atom.
Fractional positions:
Y: 0.1673 0.3327 0.0000  4 W 3.11, 2 Y 3.28
Y: 0.1673 0.6673 0.5000  4 W 3.11, 2 Y 3.28
Y: 0.3327 0.1673 0.5000  4 W 3.11, 2 Y 3.28
Y: 0.3327 0.8327 0.0000  4 W 3.11, 2 Y 3.28
Y: 0.6673 0.1673 0.0000  4 W 3.11, 2 Y 3.28
Y: 0.6673 0.8327 0.5000  4 W 3.11, 2 Y 3.28
Y: 0.8327 0.3327 0.5000  4 W 3.11, 2 Y 3.28
Y: 0.8327 0.6673 0.0000  4 W 3.11, 2 Y 3.28
W: 0.0000 0.0000 0.2500  2 W 2.78, 8 Y 3.11
W: 0.0000 0.0000 0.7500  2 W 2.78, 8 Y 3.11
W: 0.5000 0.5000 0.2500  2 W 2.78, 8 Y 3.11
W: 0.5000 0.5000 0.7500  2 W 2.78, 8 Y 3.11


No. 11
Crystalline MgBe17W at its relaxed geometry. Source: Alexandria, functional PBE.

## Properties
formation energy from the elements	-1.1	eV per formula unit
magnetic moment	0.00	μB per atom
electronic total energy	-4.157	eV/atom
space group	No. 160

abc: 5.5563 5.5563 5.5563
angles: 82.97 82.97 82.97
With the nearest neighbours (Å) after each atom.
Fractional positions:
Mg: 0.0000 0.0000 0.0000  19 Be 2.61-2.93
Be: 0.0033 0.0033 0.4911  9 Be 2.11-2.35
Be: 0.0033 0.4911 0.0033  9 Be 2.11-2.35
Be: 0.1571 0.6468 0.6468  10 Be 2.07-2.28
Be: 0.3115 0.3116 0.8109  9 Be 2.10-2.27
Be: 0.3115 0.8109 0.3115  9 Be 2.10-2.27
Be: 0.3596 0.6533 0.9515  8 Be 2.07-2.25
Be: 0.3596 0.9515 0.6533  8 Be 2.07-2.25
Be: 0.4911 0.0033 0.0033  9 Be 2.11-2.35
Be: 0.5524 0.5524 0.5524  7 Be 2.13-2.27
Be: 0.6468 0.1571 0.6468  10 Be 2.07-2.28
Be: 0.6468 0.6468 0.1571  10 Be 2.07-2.28
Be: 0.6533 0.3596 0.9515  8 Be 2.07-2.25
Be: 0.6533 0.9515 0.3596  8 Be 2.07-2.25
Be: 0.7510 0.7510 0.7510  7 Be 2.13-2.35
Be: 0.8109 0.3115 0.3116  9 Be 2.10-2.27
Be: 0.9515 0.3596 0.6533  8 Be 2.07-2.25
Be: 0.9515 0.6533 0.3596  8 Be 2.07-2.25
W: 0.3200 0.3200 0.3200  16 Be 2.50-2.72


No. 12
Crystalline RbSi6S12 at its relaxed geometry. Source: Alexandria, functional PBE.

## Properties
magnetic moment	0.05	μB per atom
electronic total energy	-4.527	eV/atom
uncorrected formation energy	-288	kJ/mol of formula units
space group	No. 166

abc: 9.8039 9.8039 9.8039
angles: 87.66 87.66 87.66
With the nearest neighbours (Å) after each atom.
Fractional positions:
Rb: 0.0000 0.0000 0.0000  6 S 3.49, 6 Si 3.80
Si: 0.0681 0.0681 0.3690  4 S 2.20-2.21
Si: 0.0681 0.3690 0.0681  4 S 2.20-2.21
Si: 0.3690 0.0681 0.0681  4 S 2.20-2.21
Si: 0.6310 0.9319 0.9319  4 S 2.20-2.21
Si: 0.9319 0.6310 0.9319  4 S 2.20-2.21
Si: 0.9319 0.9319 0.6310  4 S 2.20-2.21
S: 0.0098 0.7526 0.7526  2 Si 2.21
S: 0.1140 0.5000 0.8860  2 Si 2.20
S: 0.1140 0.8860 0.5000  2 Si 2.20
S: 0.2474 0.2474 0.9902  2 Si 2.21
S: 0.2474 0.9902 0.2474  2 Si 2.21
S: 0.5000 0.1140 0.8860  2 Si 2.20
S: 0.5000 0.8860 0.1140  2 Si 2.20
S: 0.7526 0.0098 0.7526  2 Si 2.21
S: 0.7526 0.7526 0.0098  2 Si 2.21
S: 0.8860 0.1140 0.5000  2 Si 2.20
S: 0.8860 0.5000 0.1140  2 Si 2.20
S: 0.9902 0.2474 0.2474  2 Si 2.21